# 1
Here is a geometry-optimized NaGa2Te structure from the Alexandria database. Energies are from GGA-PBE.

Calculated values
The value obtained for the total magnetic moment is 0.000 μB/atom. For the uncorrected formation energy, the calculation gives -0.219 eV per atom. As for the space group: I-42d. The total energy comes out at -0.10464 Ha/atom.

```
NaGa2Te
1.0
-4.224 4.224 2.991
4.224 -4.224 2.991
4.224 4.224 -2.991
Na Ga Te
2 4 2
direct
0.000 0.000 0.000
0.750 0.250 0.500
0.148 0.625 0.023
0.375 0.398 0.523
0.602 0.125 0.977
0.875 0.852 0.477
0.250 0.750 0.500
0.500 0.500 0.000
```

***

# 2
Here is a geometry-optimized Na2GaTe4 structure from the Alexandria database. Energies are from GGA-PBE.

Calculated values
The value obtained for the total magnetic moment is 0.000 μB/atom. For the uncorrected formation energy, the calculation gives -0.138 eV per atom. As for the space group: I4/mmm. The total energy comes out at -0.10077 Ha/atom.

```
Na2GaTe4
1.0
-2.813 2.813 7.654
2.813 -2.813 7.654
2.813 2.813 -7.654
Na Ga Te
2 1 4
direct
0.122 0.122 0.000
0.878 0.878 0.000
0.500 0.500 0.000
0.000 0.500 0.500
0.328 0.328 0.000
0.500 0.000 0.500
0.672 0.672 0.000
```

***

# 3
Here is a geometry-optimized NaGa2Te structure from the Alexandria database. Energies are from GGA-PBE.

Calculated values
The value obtained for the total magnetic moment is 0.000 μB/atom. For the uncorrected formation energy, the calculation gives 0.015 eV per atom. As for the space group: R-3m. The total energy comes out at -0.09604 Ha/atom.

```
NaGa2Te
1.0
2.021 1.167 9.454
-2.021 1.167 9.454
0.000 -2.333 9.454
Na Ga Te
1 2 1
direct
0.000 0.000 0.000
0.105 0.105 0.105
0.895 0.895 0.895
0.500 0.500 0.500
```

***

# 4
Here is a geometry-optimized Na2Ga2Te5 structure from the Alexandria database. Energies are from GGA-PBE.

Calculated values
The value obtained for the total magnetic moment is 0.000 μB/atom. For the uncorrected formation energy, the calculation gives -0.450 eV per atom. As for the space group: C2/m. The total energy comes out at -0.11618 Ha/atom.

```
Na2Ga2Te5
1.0
8.785 -2.191 0.000
8.785 2.191 0.000
-2.182 0.000 7.746
Na Ga Te
2 2 5
direct
0.099 0.099 0.363
0.901 0.901 0.637
0.369 0.369 0.216
0.631 0.631 0.784
0.214 0.214 0.746
0.416 0.416 0.928
0.500 0.500 0.500
0.584 0.584 0.072
0.786 0.786 0.254
```